6
Lattice="3.645 0.000 0.000 0.000 5.810 0.000 -1.823 0.000 9.480" Properties=species:S:1:pos:R:3 comment="PBEsol La2Y, relaxed" formation_energy_ev_per_atom=0.0387 dos_ef_per_ev_atom=1.72 space_group="No. 63" pbc="T T T"
La 1.823 1.452 8.432
Y 1.823 1.452 2.102
Y 0.000 4.357 7.378
La 1.823 4.357 4.208
La 0.000 4.357 1.048
La 0.000 1.452 5.272

---

4
Lattice="3.273 0.000 0.000 1.637 2.835 0.000 1.637 0.945 9.395" Properties=species:S:1:pos:R:3 comment="PBEsol Mg2AlTl, relaxed" formation_energy_ev_per_atom=0.0216 dos_ef_per_ev_atom=0.34 space_group="No. 166" pbc="T T T"
Tl 3.273 1.890 4.698
Al 0.000 0.000 0.000
Mg 1.637 0.945 2.249
Mg 4.910 2.835 7.146

---

4
Lattice="3.618 0.000 0.000 1.809 3.133 0.000 1.809 1.044 5.485" Properties=species:S:1:pos:R:3 comment="PBEsol HIrS2, relaxed" space_group="No. 166" pbc="T T T"
S 1.809 1.044 3.843
H 0.000 0.000 0.000
S 5.427 3.133 1.642
Ir 3.618 2.089 2.743

---

3
Lattice="-1.215 0.667 3.136 -1.820 -1.935 -2.167 3.545 -6.394 2.733" Properties=species:S:1:pos:R:3 comment="PBEsol LaZrSb, relaxed" raw_formation_energy_kj_per_mol_fu=-57 dos_ef_per_ev_atom=1.49 space_group="No. 156" pbc="T T T"
Zr -0.162 -2.463 2.335
Sb 0.670 -5.196 1.365
La 0.002 -0.003 0.001

---

5
Lattice="4.984 0.000 0.000 0.000 4.984 0.000 0.000 0.000 4.984" Properties=species:S:1:pos:R:3 comment="PBEsol SrGeAs3, relaxed" formation_energy_ev_per_atom=0.0107 dos_ef_per_ev_atom=0.98 space_group="No. 221" pbc="T T T"
As 2.492 0.000 0.000
Ge 0.000 0.000 0.000
As 0.000 0.000 2.492
Sr 2.492 2.492 2.492
As 0.000 2.492 0.000

---

4
Lattice="-3.259 0.136 -2.207 -2.040 -1.702 2.907 -0.854 3.549 1.479" Properties=species:S:1:pos:R:3 comment="PBEsol BeAu3, relaxed" formation_energy_ev_per_atom=0.0340 dos_ef_per_ev_atom=0.33 space_group="No. 221" pbc="T T T"
Be 0.000 0.000 0.000
Au -2.649 -0.783 0.350
Au -1.447 0.923 2.193
Au -2.056 1.842 -0.364

---

8
Lattice="5.479 0.000 0.000 0.000 5.479 0.000 -2.740 -2.740 8.317" Properties=species:S:1:pos:R:3 comment="PBEsol SiAuI2, relaxed" raw_formation_energy_kj_per_mol_fu=209 dos_ef_per_ev_atom=0.61 space_group="No. 122" pbc="T T T"
I 1.376 4.110 2.079
Si 2.740 0.000 4.159
Si 2.740 2.740 0.000
I 4.103 1.370 2.079
Au 0.000 0.000 0.000
I 1.370 1.364 6.238
Au 0.000 2.740 4.159
I -1.370 -1.364 6.238

---

5
Lattice="4.284 0.000 0.000 0.000 4.575 0.000 0.000 0.000 4.575" Properties=species:S:1:pos:R:3 comment="PBEsol HfSc2BiN, relaxed" raw_formation_energy_kj_per_mol_fu=-460 dos_ef_per_ev_atom=0.70 space_group="No. 123" pbc="T T T"
Sc 0.000 2.288 0.000
Bi 2.142 2.288 2.288
Hf 2.142 0.000 0.000
Sc 0.000 0.000 2.288
N 0.000 0.000 0.000

---

5
Lattice="-1.841 -3.431 2.876 4.992 -2.333 0.411 1.095 3.122 4.426" Properties=species:S:1:pos:R:3 comment="PBEsol ZrBiSI2, relaxed" raw_formation_energy_kj_per_mol_fu=163 dos_ef_per_ev_atom=0.97 space_group="No. 123" pbc="T T T"
S 0.000 0.000 0.000
Bi 2.123 -1.321 3.856
Zr -0.920 -1.715 1.438
I 2.496 -1.167 0.206
I 0.547 1.561 2.213

---

5
Lattice="-2.176 2.561 -4.206 0.751 -4.372 -3.051 -4.867 -1.820 1.410" Properties=species:S:1:pos:R:3 comment="PBEsol Cd3ReSb, relaxed" raw_formation_energy_kj_per_mol_fu=855 dos_ef_per_ev_atom=0.72 space_group="No. 221" pbc="T T T"
Sb 0.000 0.000 0.000
Cd -1.088 1.281 -2.103
Re -3.146 -1.816 -2.923
Cd -2.433 -0.910 0.705
Cd 0.376 -2.186 -1.525

---

13
Lattice="-3.306 -3.376 -3.292 4.629 -2.190 2.635 -4.465 -1.810 6.340" Properties=species:S:1:pos:R:3 comment="PBEsol K2Ge2Pb2O7, relaxed" raw_formation_energy_kj_per_mol_fu=-2016 dos_ef_per_ev_atom=0.00 space_group="No. 147" pbc="T T T"
K -4.804 -4.660 4.565
O -2.758 -2.909 5.138
K 1.661 -2.716 1.118
O -1.541 -1.711 0.517
Ge -1.229 -0.498 1.745
Pb -2.369 -3.673 1.109
Ge -3.236 -1.312 4.595
O -2.857 -3.900 -1.035
O -2.233 -0.905 3.170
O -0.285 -3.476 6.718
O -0.384 -4.467 0.545
Pb -0.773 -3.703 4.573
O -1.601 -5.665 5.166

---

4
Lattice="3.807 0.000 0.000 1.904 3.297 0.000 1.904 1.099 6.276" Properties=species:S:1:pos:R:3 comment="PBEsol ZrScSe2, relaxed" raw_formation_energy_kj_per_mol_fu=-538 dos_ef_per_ev_atom=0.60 space_group="No. 166" pbc="T T T"
Zr 3.807 2.198 3.138
Se 1.904 1.099 1.529
Se 5.711 3.297 4.748
Sc 0.000 0.000 0.000

---

5
Lattice="4.439 0.000 0.000 0.000 4.439 0.000 0.000 0.000 4.439" Properties=species:S:1:pos:R:3 comment="PBEsol ZnCr3Ge, relaxed" formation_energy_ev_per_atom=1.4266 dos_ef_per_ev_atom=0.93 space_group="No. 221" pbc="T T T"
Ge 2.219 2.219 2.219
Cr 0.000 0.000 2.219
Cr 0.000 2.219 0.000
Zn 0.000 0.000 0.000
Cr 2.219 0.000 0.000

---

5
Lattice="-1.472 -3.259 -3.188 2.302 -3.423 2.436 -3.935 -0.783 2.618" Properties=species:S:1:pos:R:3 comment="PBEsol CaB3O, relaxed" raw_formation_energy_kj_per_mol_fu=1572 dos_ef_per_ev_atom=0.82 space_group="No. 221" pbc="T T T"
B -1.967 -0.392 1.309
O -1.552 -3.732 0.933
Ca 0.000 0.000 0.000
B -0.736 -1.629 -1.594
B 1.151 -1.711 1.218

---

4
Lattice="-2.323 -0.544 -2.034 2.042 0.159 -2.374 1.329 -7.964 0.611" Properties=species:S:1:pos:R:3 comment="PBEsol YTa2Se, relaxed" raw_formation_energy_kj_per_mol_fu=45 dos_ef_per_ev_atom=1.05 space_group="No. 123" pbc="T T T"
Ta 0.922 -5.527 0.424
Se 0.524 -4.174 -1.899
Ta 0.407 -2.437 0.187
Y -0.140 -0.193 -2.204

---

5
Lattice="5.157 0.000 0.000 0.000 5.157 0.000 0.000 0.000 5.157" Properties=species:S:1:pos:R:3 comment="PBEsol YHfZr3, relaxed" formation_energy_ev_per_atom=0.8080 dos_ef_per_ev_atom=2.09 space_group="No. 221" pbc="T T T"
Y 2.578 2.578 2.578
Zr 0.000 0.000 2.578
Zr 0.000 2.578 0.000
Zr 2.578 0.000 0.000
Hf 0.000 0.000 0.000

---

3
Lattice="3.877 0.000 0.000 0.000 3.877 0.000 -1.939 -1.939 5.315" Properties=species:S:1:pos:R:3 comment="PBEsol SrTlAg, relaxed" formation_energy_ev_per_atom=-0.2277 dos_ef_per_ev_atom=0.36 space_group="No. 107" pbc="T T T"
Tl 0.000 0.000 3.779
Sr 1.939 1.939 1.737
Ag 1.939 1.939 5.115

---

4
Lattice="-2.482 -0.210 -1.946 1.961 -3.401 -2.135 -2.470 -2.228 5.959" Properties=species:S:1:pos:R:3 comment="PBEsol BeTlIn2, relaxed" formation_energy_ev_per_atom=0.3329 dos_ef_per_ev_atom=0.40 space_group="No. 71" pbc="T T T"
Tl 0.981 -1.701 -1.068
In -1.973 -4.335 0.416
Be -1.241 -0.105 -0.973
In -1.018 -1.504 1.461

---

4
Lattice="-2.591 -0.029 2.845 -0.405 -3.130 2.201 1.167 0.062 3.666" Properties=species:S:1:pos:R:3 comment="PBEsol NbOsC2, relaxed" formation_energy_ev_per_atom=0.8050 dos_ef_per_ev_atom=1.06 space_group="No. 225" pbc="T T T"
C -0.457 -0.774 2.178
Os -0.915 -1.548 4.356
Nb 0.000 0.000 0.000
C -1.372 -2.323 6.534

---

34
Lattice="5.498 0.290 0.211 2.066 10.753 -0.086 2.066 3.211 10.262" Properties=species:S:1:pos:R:3 comment="PBEsol SbP4O12, relaxed" raw_formation_energy_kj_per_mol_fu=-3076 dos_ef_per_ev_atom=0.13 space_group="No. 12" pbc="T T T"
O 2.450 4.248 1.086
O 6.456 7.367 7.385
O 3.474 7.862 0.647
O 7.179 11.919 6.676
P 3.878 2.017 3.314
O 3.474 3.024 7.286
O 4.707 11.568 6.193
Sb 1.033 1.606 5.131
P 7.165 10.099 3.777
O 2.946 6.991 8.893
O 4.094 2.467 1.798
P 7.165 6.689 8.456
O 2.066 9.105 2.174
O 2.946 10.607 3.932
O 7.179 10.006 9.301
O 5.535 11.788 8.590
O 6.456 9.286 4.751
O 3.174 6.887 3.003
P 2.465 7.565 1.931
O 6.684 3.647 6.456
Sb 1.033 5.376 -0.043
P 5.751 10.481 9.482
O 4.922 4.816 1.272
O 4.922 2.686 4.195
P 2.465 4.155 6.610
P 5.751 12.237 7.073
O 4.707 9.438 9.115
O 3.174 4.968 5.636
O 2.450 2.335 3.711
P 3.878 3.773 0.905
O 6.155 11.230 3.102
O 6.155 6.393 9.741
O 2.066 4.859 8.002
O 6.684 7.263 1.495

---

no.,raw total energy (eV/f.u.)
1,-17.4
2,-10.1
3,-23.2
4,-19.6
5,-22.0
6,-15.6
7,-11.0
8,-41.3
9,-19.6
10,-12.6
11,-77.8
12,-29.0
13,-30.1
14,-12.1
15,-35.3
16,-40.6
17,-8.5
18,-11.3
19,-39.1
20,-122.6